Version A
This record from OQMD describes a geometry-optimized LiHgB4 structure. The functional is PBE-GGA.

```
LiHgB4
1.0
-1.537 2.594 3.933
1.537 -2.594 3.933
1.537 2.594 -3.933
Li Hg B
1 1 4
direct
0.000 0.000 0.000 Li
0.500 0.500 0.000 Hg
0.069 0.739 0.330 B
0.409 0.739 0.670 B
0.591 0.261 0.330 B
0.931 0.261 0.670 B
```

Version B
This record from OQMD describes a geometry-optimized LiHgB4 structure. The functional is PBE-GGA.

```
LiHgB4
1.0
3.066 0.000 0.000
-1.533 2.655 0.000
0.000 0.000 7.530
Li Hg B
1 1 4
direct
0.000 0.000 0.000 Li
0.000 0.000 0.500 Hg
0.333 0.667 0.210 B
0.333 0.667 0.790 B
0.667 0.333 0.210 B
0.667 0.333 0.790 B
```

Most stable structure - version A; separation to the second - 38 meV/atom.

Version A
This record from OQMD describes a geometry-optimized LuNiHgB structure. The functional is PBE-GGA.

```
LuNiHgB
1.0
0.000 3.146 3.146
3.146 0.000 3.146
3.146 3.146 0.000
Lu Ni Hg B
1 1 1 1
direct
0.000 0.000 0.000 Lu
0.750 0.750 0.750 Ni
0.500 0.500 0.500 Hg
0.250 0.250 0.250 B
```

Version B
This record from OQMD describes a geometry-optimized LuNiHgB structure. The functional is PBE-GGA.

```
LuNiHgB
1.0
0.000 3.177 3.177
3.177 0.000 3.177
3.177 3.177 0.000
Lu Ni Hg B
1 1 1 1
direct
0.000 0.000 0.000 Lu
0.750 0.750 0.750 Ni
0.250 0.250 0.250 Hg
0.500 0.500 0.500 B
```

Most stable structure - version A; separation to the second - 252 meV/atom.

Version A
This record from OQMD describes a geometry-optimized NaHgB structure. The functional is PBE-GGA.

```
NaHgB
1.0
0.000 3.007 3.007
3.007 0.000 3.007
3.007 3.007 0.000
Na Hg B
1 1 1
direct
0.000 0.000 0.000 Na
0.500 0.500 0.500 Hg
0.750 0.750 0.750 B
```

Version B
This record from OQMD describes a geometry-optimized NaHgB structure. The functional is PBE-GGA.

```
NaHgB
1.0
0.000 3.209 3.209
3.209 0.000 3.209
3.209 3.209 0.000
Na Hg B
1 1 1
direct
0.000 0.000 0.000 Na
0.250 0.250 0.250 Hg
0.750 0.750 0.750 B
```

Most stable structure - version A; separation to the second - 484 meV/atom.

Version A
This record from OQMD describes a geometry-optimized NbHgB4 structure. The functional is PBE-GGA.

```
NbHgB4
1.0
-1.545 2.599 3.928
1.545 -2.599 3.928
1.545 2.599 -3.928
Nb Hg B
1 1 4
direct
0.000 0.000 0.000 Nb
0.500 0.500 0.000 Hg
0.069 0.740 0.330 B
0.410 0.740 0.670 B
0.590 0.260 0.330 B
0.931 0.260 0.670 B
```

Version B
This record from OQMD describes a geometry-optimized NbHgB4 structure. The functional is PBE-GGA.

```
NbHgB4
1.0
3.048 0.000 0.000
-1.524 2.640 0.000
0.000 0.000 8.913
Nb Hg B
1 1 4
direct
0.000 0.000 0.000 Nb
0.000 0.000 0.500 Hg
0.333 0.667 0.185 B
0.333 0.667 0.815 B
0.667 0.333 0.185 B
0.667 0.333 0.815 B
```

Most stable structure - version B; separation to the second - 256 meV/atom.

Version A
This record from OQMD describes a geometry-optimized NbNiHgB structure. The functional is PBE-GGA.

```
NbNiHgB
1.0
0.000 3.025 3.025
3.025 0.000 3.025
3.025 3.025 0.000
Nb Ni Hg B
1 1 1 1
direct
0.000 0.000 0.000 Nb
0.250 0.250 0.250 Ni
0.500 0.500 0.500 Hg
0.750 0.750 0.750 B
```

Version B
This record from OQMD describes a geometry-optimized NbNiHgB structure. The functional is PBE-GGA.

```
NbNiHgB
1.0
0.000 3.090 3.090
3.090 0.000 3.090
3.090 3.090 0.000
Nb Ni Hg B
1 1 1 1
direct
0.000 0.000 0.000 Nb
0.750 0.750 0.750 Ni
0.250 0.250 0.250 Hg
0.500 0.500 0.500 B
```

Most stable structure - version A; separation to the second - 455 meV/atom.

Version A
This record from OQMD describes a geometry-optimized NiHgBOs structure. The functional is PBE-GGA.

```
NiHgBOs
1.0
0.000 3.033 3.033
3.033 0.000 3.033
3.033 3.033 0.000
Ni Hg B Os
1 1 1 1
direct
0.000 0.000 0.000 Ni
0.500 0.500 0.500 Hg
0.750 0.750 0.750 B
0.250 0.250 0.250 Os
```

Version B
This record from OQMD describes a geometry-optimized NiHgBOs structure. The functional is PBE-GGA.

```
NiHgBOs
1.0
0.000 2.957 2.957
2.957 0.000 2.957
2.957 2.957 0.000
Ni Hg B Os
1 1 1 1
direct
0.000 0.000 0.000 Ni
0.750 0.750 0.750 Hg
0.500 0.500 0.500 B
0.250 0.250 0.250 Os
```

Most stable structure - version B; separation to the second - 531 meV/atom.